(1)
DFT (PBE) results for a geometry-optimized KBaCd2Ir structure.

Structure (POSCAR):
```
KBaCd2Ir
1.0
-0.831 -6.024 2.484
5.412 -0.524 0.541
-0.358 2.543 6.046
K Ir Ba Cd
1 1 1 2
Direct
0.500 0.500 0.500 K
0.000 0.500 0.000 Ir
0.000 0.000 0.000 Ba
0.000 0.000 0.500 Cd
0.500 0.000 0.000 Cd
```

Energy above the most stable polymorph in this dataset ... 763 meV per atom
Symmetry ... P4/mmm, No. 123



(2)
DFT (PBE) results for a geometry-optimized KBaCd2Ir structure.

Structure (POSCAR):
```
KBaCd2Ir
1.0
-2.645 0.953 4.682
0.192 -5.326 1.192
5.033 0.782 2.684
K Ir Ba Cd
1 1 1 2
Direct
0.500 0.500 0.500 K
0.000 0.000 0.000 Ir
0.000 0.000 0.500 Ba
0.000 0.500 0.000 Cd
0.500 0.000 0.000 Cd
```

Energy above the most stable polymorph in this dataset ... 0 meV per atom
Symmetry ... P4/mmm, No. 123



(3)
DFT (PBE) results for a geometry-optimized KBa2CdIr structure.

Structure (POSCAR):
```
KBa2CdIr
1.0
6.112 0.000 0.000
0.000 6.112 0.000
0.000 0.000 5.535
K Ir Ba Cd
1 1 2 1
Direct
0.500 0.500 0.500 K
0.000 0.000 0.000 Ir
0.000 0.500 0.000 Ba
0.500 0.000 0.000 Ba
0.000 0.000 0.500 Cd
```

E_tot ... -0.11002 hartree per atom
Symmetry ... P4/mmm, No. 123



(4)
DFT (PBE) results for a geometry-optimized Ba2LaCdIr structure.

Structure (POSCAR):
```
Ba2LaCdIr
1.0
6.240 0.000 0.000
0.000 6.240 0.000
0.000 0.000 5.437
Cd Ir Ba La
1 1 2 1
Direct
0.500 0.500 0.500 Cd
0.000 0.000 0.000 Ir
0.000 0.500 0.000 Ba
0.500 0.000 0.000 Ba
0.000 0.000 0.500 La
```

E_tot ... -0.14427 hartree per atom
Symmetry ... P4/mmm, No. 123



(5)
DFT (PBE) results for a geometry-optimized Ba2LiCdIr structure.

Structure (POSCAR):
```
Ba2LiCdIr
1.0
-1.030 5.813 1.372
-4.885 -1.276 1.737
2.219 -0.921 5.564
Ir Li Ba Cd
1 1 2 1
Direct
0.000 0.000 0.000 Ir
0.500 0.500 0.500 Li
0.000 0.000 0.500 Ba
0.500 0.000 0.000 Ba
0.000 0.500 0.000 Cd
```

Energy above the most stable polymorph in this dataset ... 0 meV per atom
Symmetry ... P4/mmm, No. 123



(6)
DFT (PBE) results for a geometry-optimized Ba2LiCdIr structure.

Structure (POSCAR):
```
Ba2LiCdIr
1.0
-4.636 0.676 3.805
-2.689 -4.832 -2.418
2.284 -2.924 3.303
Ir Li Ba Cd
1 1 2 1
Direct
0.000 0.000 0.000 Ir
0.000 0.000 0.500 Li
0.000 0.500 0.000 Ba
0.500 0.000 0.000 Ba
0.500 0.500 0.500 Cd
```

Energy above the most stable polymorph in this dataset ... 11 meV per atom
Symmetry ... P4/mmm, No. 123



(7)
DFT (PBE) results for a geometry-optimized BaMgCd2Ir structure.

Structure (POSCAR):
```
BaMgCd2Ir
1.0
5.323 0.000 0.000
0.000 5.323 0.000
0.000 0.000 5.033
Mg Ir Ba Cd
1 1 1 2
Direct
0.000 0.000 0.500 Mg
0.000 0.000 0.000 Ir
0.500 0.500 0.500 Ba
0.000 0.500 0.000 Cd
0.500 0.000 0.000 Cd
```

E_tot ... -0.11186 hartree per atom
Symmetry ... P4/mmm, No. 123



(8)
DFT (PBE) results for a geometry-optimized Ba2MgCdIr structure.

Structure (POSCAR):
```
Ba2MgCdIr
1.0
6.096 0.000 0.000
0.000 6.096 0.000
0.000 0.000 5.097
Mg Ir Ba Cd
1 1 2 1
Direct
0.000 0.000 0.500 Mg
0.000 0.000 0.000 Ir
0.000 0.500 0.000 Ba
0.500 0.000 0.000 Ba
0.500 0.500 0.500 Cd
```

E_tot ... -0.11642 hartree per atom
Symmetry ... P4/mmm, No. 123